Record 1
Below is crystalline Na44Ag7 at its relaxed geometry, with properties calculated at the GGA-PBE level.

Computed properties:
Calculated total energy: -1.498 eV per atom
Volume: 27.08 Å³/atom

Cell: 22.2725 22.2725 22.2725 Å, 90.00 90.00 90.00°
Closest atoms and distances in Å follow each position.
Space group F-43m (No. 216)
Symmetry-distinct sites (fractional):
Na 0.0000 0.0000 0.1064 x24  2 Ag 3.12, 10 Na 3.29-3.36
Na 0.0343 0.1426 0.8574 x48  2 Ag 3.10-3.27, 10 Na 3.23-3.45
Na 0.0337 0.1559 0.3441 x48  8 Na 3.22-3.60, 2 Ag 3.56
Na 0.0549 0.0549 0.4451 x16  3 Ag 2.98, 6 Na 3.22-3.26
Na 0.0568 0.0568 0.2306 x48  2 Ag 2.95-3.22, 3 Na 3.29-3.30
Na 0.0641 0.2500 0.7500 x24  12 Na 3.39-3.76, 2 Ag 3.46
Na 0.0850 0.0850 0.5850 x16  3 Ag 3.20, 9 Na 3.23-3.46
Na 0.0878 0.1979 0.1979 x48  1 Ag 3.13, 8 Na 3.23-3.47
Na 0.0920 0.0920 0.7298 x48  10 Na 3.23-3.60, 2 Ag 3.25-3.31
Na 0.1902 0.1902 0.3098 x16  12 Na 3.38-3.76
Na 0.1960 0.1960 0.6960 x16  3 Ag 3.14, 9 Na 3.36-3.40
Ag 0.0000 0.0000 0.3360 x24  8 Na 2.95-3.25
Ag 0.0989 0.0989 0.0989 x16  12 Na 3.12-3.27
Ag 0.1685 0.1685 0.8315 x16  12 Na 3.10-3.46

=====

Record 2
Below is crystalline Na5Ag2 at its relaxed geometry, with properties calculated at the GGA-PBE level.

Computed properties:
Calculated total energy: -1.718 eV per atom
Volume: 22.91 Å³/atom

Cell: 5.0579 5.0579 21.7173 Å, 90.00 90.00 120.00°
Closest atoms and distances in Å follow each position.
Space group R-3m (No. 166, hexagonal axes)
Symmetry-distinct sites (fractional):
Na 0.0000 0.0000 0.0000 x3  8 Na 3.09-3.14
Na 0.0000 0.0000 0.1447 x6  5 Na 3.07-3.14, 3 Ag 3.08
Na 0.0000 0.0000 0.2871 x6  4 Na 3.09, 4 Ag 3.14-3.16
Ag 0.0000 0.0000 0.4327 x6  1 Ag 2.92, 7 Na 3.08-3.16

=====

Record 3
Below is crystalline NaAg2 at its relaxed geometry, with properties calculated at the GGA-PBE level.

Computed properties:
Calculated total energy: -2.412 eV per atom
Volume: 20.83 Å³/atom

Cell: 5.6049 5.6049 18.3723 Å, 90.00 90.00 120.00°
Closest atoms and distances in Å follow each position.
Space group P6_3/mmc (No. 194)
Symmetry-distinct sites (fractional):
Na 0.0000 0.0000 0.0939 x4  12 Ag 3.28-3.29, 4 Na 3.43-3.45
Na 0.3333 0.6667 0.1559 x4  12 Ag 3.29, 4 Na 3.43-3.46
Ag 0.0000 0.5000 0.0000 x6  6 Ag 2.80-2.81
Ag 0.1641 0.3281 0.7500 x6  6 Ag 2.76-2.85
Ag 0.3333 0.6667 0.6250 x4  6 Ag 2.81-2.82

=====

Record 4
Below is crystalline Na9Ag2 at its relaxed geometry, with properties calculated at the GGA-PBE level.

Computed properties:
Calculated total energy: -1.562 eV per atom
Volume: 27.70 Å³/atom

Cell: 10.5794 10.5794 21.7778 Å, 90.00 90.00 90.00°
Closest atoms and distances in Å follow each position.
Space group I4_1/amd (No. 141, origin choice 2)
Symmetry-distinct sites (fractional):
Na 0.0000 0.0400 0.3481 x16  2 Ag 2.97
Na 0.0000 0.0789 0.0622 x16  2 Ag 2.99, 1 Na 3.18
Na 0.0000 0.0945 0.8058 x16  2 Ag 2.98, 1 Na 3.29
Na 0.0000 0.2500 0.1916 x8  10 Na 3.35-3.68
Na 0.1641 0.0000 0.5000 x16  2 Ag 2.95
Ag 0.2308 0.0192 0.8750 x16  8 Na 2.95-2.99

=====

Record 5
Below is crystalline Na29Ag6 at its relaxed geometry, with properties calculated at the GGA-PBE level.

Computed properties:
Calculated total energy: -1.545 eV per atom
Volume: 26.24 Å³/atom

Cell: 15.4298 15.4298 15.4298 Å, 90.00 90.00 90.00°
Closest atoms and distances in Å follow each position.
Space group Pm-3 (No. 200)
Symmetry-distinct sites (fractional):
Na 0.0000 0.0000 0.0000 x1  12 Na 3.26
Na 0.0000 0.0000 0.3504 x6  2 Ag 3.19, 10 Na 3.29-3.46
Na 0.0000 0.1199 0.1740 x12  1 Ag 2.89
Na 0.0000 0.3103 0.5000 x6  2 Ag 2.94, 2 Na 3.18
Na 0.0000 0.4026 0.3155 x12  3 Ag 3.00-3.05, 4 Na 3.01-3.18
Na 0.1070 0.1210 0.5000 x12  3 Ag 2.93-3.24
Na 0.1190 0.3004 0.1831 x24  9 Na 3.17-3.48, 2 Ag 3.19-3.37
Na 0.1223 0.5000 0.5000 x6  2 Ag 3.29, 8 Na 3.48-3.54
Na 0.1952 0.3136 0.3873 x24  3 Ag 3.22-3.51, 8 Na 3.29-3.54
Na 0.3205 0.5000 0.3907 x12  1 Ag 2.83
Na 0.5000 0.5000 0.5000 x1  12 Na 3.24
Ag 0.0000 0.2063 0.3405 x12  6 Na 2.89-3.19
Ag 0.1663 0.5000 0.2913 x12  4 Na 2.83-3.00

=====

Record 6
Below is crystalline Na5Ag2 at its relaxed geometry, with properties calculated at the GGA-PBE level.

Computed properties:
Calculated total energy: -1.731 eV per atom
Volume: 24.38 Å³/atom

Cell: 9.8807 5.7609 11.9923 Å, 90.00 90.23 90.00°
Closest atoms and distances in Å follow each position.
Space group C2/m (No. 12)
Symmetry-distinct sites (fractional):
Na 0.0254 0.0000 0.1232 x4  2 Ag 2.97, 1 Na 2.99
Na 0.1050 0.0000 0.6112 x4  4 Ag 2.92-3.04, 3 Na 3.01-3.13
Na 0.1280 0.5000 0.8053 x4  5 Na 3.13-3.43, 4 Ag 3.13-3.31
Na 0.1422 0.5000 0.5448 x4  5 Na 3.01-3.13, 4 Ag 3.06-3.10
Na 0.1880 0.5000 0.0872 x4  2 Ag 3.16, 5 Na 3.33-3.43
Ag 0.1359 0.2541 0.3186 x8  2 Ag 2.83-2.93, 7 Na 2.92-3.16